# 1
The following is a DFT calculation (PBE) of crystalline Sr2LiSb3Pd4 at its relaxed geometry.

a b c (Å): 4.607 4.607 10.742
angles (deg): 90.00 90.00 90.00
Element x y z (fractional)
Pd  0.000  0.000  0.000
Pd  0.500  0.000  0.624
Pd  0.500  0.500  0.000
Pd  0.000  0.500  0.376
Sb  0.500  0.000  0.868
Sb  0.000  0.000  0.500
Sb  0.000  0.500  0.132
Sr  0.500  0.000  0.247
Sr  0.000  0.500  0.753
Li  0.500  0.500  0.500

Properties
space group = P-4m2 (115)
formation energy from raw total energies = -0.81 eV per atom

---

# 2
The following is a DFT calculation (PBE) of crystalline Cd2PbBr at its relaxed geometry.

a b c (Å): 9.655 9.655 9.655
angles (deg): 22.14 22.14 22.14
Element x y z (fractional)
Cd  0.259  0.259  0.259
Cd  0.001  0.001  0.001
Br  0.738  0.738  0.738
Pb  0.503  0.503  0.503

Properties
space group = R3m (160)
formation energy from raw total energies = -0.17 eV per atom
energy above the lowest structure with this stoichiometry = 6.9 meV per atom

---

# 3
The following is a DFT calculation (PBE) of crystalline Dy2ThCrC4 at its relaxed geometry.

a b c (Å): 3.499 6.187 11.986
angles (deg): 90.00 90.00 106.43
Element x y z (fractional)
C  0.267  0.535  0.135
C  0.000  0.000  0.000
C  0.267  0.535  0.365
C  0.733  0.465  0.635
C  0.000  0.000  0.500
C  0.733  0.465  0.865
C  0.585  0.170  0.250
C  0.415  0.830  0.750
Th  0.093  0.187  0.750
Th  0.907  0.813  0.250
Cr  0.828  0.656  0.750
Cr  0.172  0.344  0.250
Dy  0.632  0.263  0.045
Dy  0.368  0.737  0.955
Dy  0.368  0.737  0.545
Dy  0.632  0.263  0.455

Properties
space group = Cmcm (63)
formation energy from the elements = -116.5 meV/atom

---

# 4
The following is a DFT calculation (PBE) of crystalline Tb5Ir2Pt at its relaxed geometry.

a b c (Å): 7.539 7.539 8.655
angles (deg): 115.82 115.82 90.00
Element x y z (fractional)
Ir  0.133  0.367  0.000
Ir  0.367  0.867  0.000
Ir  0.633  0.133  0.000
Ir  0.867  0.633  0.000
Pt  0.750  0.750  0.500
Pt  0.250  0.250  0.500
Tb  0.809  0.971  0.281
Tb  0.000  0.000  0.000
Tb  0.691  0.191  0.719
Tb  0.029  0.529  0.719
Tb  0.471  0.309  0.281
Tb  0.191  0.029  0.719
Tb  0.500  0.500  0.000
Tb  0.309  0.809  0.281
Tb  0.529  0.691  0.719
Tb  0.971  0.471  0.281

Properties
space group = I4/mcm (140)
formation energy from the elements = -839.0 meV/atom

---

# 5
The following is a DFT calculation (PBE) of crystalline Sc2GaNiPb at its relaxed geometry.

a b c (Å): 4.881 4.856 4.881
angles (deg): 90.00 90.00 90.00
Element x y z (fractional)
Sc  0.000  0.000  0.500
Sc  0.500  0.000  0.000
Ni  0.000  0.000  0.000
Ga  0.500  0.500  0.500
Pb  0.000  0.500  0.000

Properties
space group = P4/mmm (123)
formation energy from the elements = -60.7 meV/atom
energy above the lowest structure with this stoichiometry = 0.0 meV per atom

---

# 6
The following is a DFT calculation (PBE) of crystalline Mn4NiAu at its relaxed geometry.

a b c (Å): 4.736 4.736 4.736
angles (deg): 60.00 60.00 60.00
Last column: magnetic moment on the atom in μB.
Element x y z (fractional)
Au  0.000  0.000  0.000  0.09
Ni  0.250  0.250  0.250  0.53
Mn  0.624  0.624  0.127  1.33
Mn  0.624  0.127  0.624  1.33
Mn  0.624  0.624  0.624  1.33
Mn  0.127  0.624  0.624  1.33

Properties
space group = F-43m (216)
formation energy from the elements = 311.3 meV/atom

---

# 7
The following is a DFT calculation (PBE) of crystalline NpTlAu at its relaxed geometry.

a b c (Å): 3.075 5.083 5.083
angles (deg): 120.00 90.00 90.00
Last column: magnetic moment on the atom in μB.
Element x y z (fractional)
Np  0.667  0.333  0.667  4.21
Tl  0.167  0.667  0.333  -0.02
Au  0.166  0.000  0.000  0.02

Properties
space group = P-6m2 (187)
formation energy from the elements = 17.9 meV/atom

---

# 8
The following is a DFT calculation (PBE) of crystalline RbCeO3 at its relaxed geometry.

a b c (Å): 4.477 4.477 4.477
angles (deg): 90.00 90.00 90.00
Last column: magnetic moment on the atom in μB.
Element x y z (fractional)
O  0.000  0.000  0.500  0.28
O  0.500  0.000  0.000  0.28
O  0.000  0.500  0.000  0.28
Rb  0.500  0.500  0.500  0.00
Ce  0.000  0.000  0.000  0.04

Properties
space group = Pm-3m (221)
formation energy from raw total energies = -2.34 eV per atom

---

# 9
The following is a DFT calculation (PBE) of crystalline LaY3Hf at its relaxed geometry.

a b c (Å): 5.650 5.650 5.650
angles (deg): 90.00 90.00 90.00
Element x y z (fractional)
Y  0.500  0.000  0.000
Y  0.000  0.500  0.000
Y  0.000  0.000  0.500
La  0.500  0.500  0.500
Hf  0.000  0.000  0.000

Properties
space group = Pm-3m (221)
formation energy from the elements = 544.1 meV/atom
energy above the lowest structure with this stoichiometry = 0.0 meV per atom

---

# 10
The following is a DFT calculation (PBE) of crystalline HfMgSc2B at its relaxed geometry.

a b c (Å): 4.753 4.753 4.609
angles (deg): 90.00 90.00 90.00
Element x y z (fractional)
B  0.000  0.000  0.000
Mg  0.500  0.500  0.500
Sc  0.000  0.500  0.000
Sc  0.500  0.000  0.000
Hf  0.000  0.000  0.500

Properties
space group = P4/mmm (123)
formation energy from the elements = -100.2 meV/atom

---

# 11
The following is a DFT calculation (PBE) of crystalline SmEr2Tm3 at its relaxed geometry.

a b c (Å): 6.736 7.701 7.701
angles (deg): 74.47 90.00 90.00
Element x y z (fractional)
Er  0.577  0.471  0.815
Er  0.077  0.529  0.185
Er  0.077  0.185  0.529
Er  0.577  0.815  0.471
Tm  0.576  0.549  0.205
Tm  0.076  0.795  0.451
Tm  0.076  0.451  0.795
Tm  0.825  0.153  0.153
Tm  0.576  0.205  0.549
Tm  0.325  0.847  0.847
Sm  0.327  0.147  0.147
Sm  0.827  0.853  0.853

Properties
space group = Cmc2_1 (36)
formation energy from the elements = 230.2 meV/atom
energy above the lowest structure with this stoichiometry = 205.6 meV per atom

---

# 12
The following is a DFT calculation (PBE) of crystalline TbHoZnHg at its relaxed geometry.

a b c (Å): 5.170 5.170 5.170
angles (deg): 60.00 60.00 60.00
Last column: magnetic moment on the atom in μB.
Element x y z (fractional)
Hg  0.500  0.500  0.500  0.01
Ho  0.250  0.250  0.250  0.07
Tb  0.750  0.750  0.750  0.07
Zn  0.000  0.000  0.000  0.01

Properties
space group = F-43m (216)
formation energy from the elements = -394.9 meV/atom
energy above the lowest structure with this stoichiometry = 19.3 meV per atom